Entry 1:
! PBE NpAlOs2, relaxed; values from VASP
&SYSTEM
  ibrav = 0, nat = 4, ntyp = 3
/
ATOMIC_SPECIES
Np 237.00 Np.upf
Al 26.98 Al.upf
Os 190.23 Os.upf
CELL_PARAMETERS angstrom
0.0000 3.2280 3.2280
3.2280 0.0000 3.2280
3.2280 3.2280 0.0000
ATOMIC_POSITIONS crystal
Np 0.0000 0.0000 0.0000
Al 0.5000 0.5000 0.5000
Os 0.2500 0.2500 0.2500
Os 0.7500 0.7500 0.7500
! Magnetic moment: 2.6 μB per cell
! E above lowest polymorph: 0.016 eV per atom
! VASP energy: -0.724 Ry per atom
! DOS at the Fermi energy: 3.61 states/eV/cell

---

Entry 2:
! PBE Nd5S4N, relaxed; values from VASP
&SYSTEM
  ibrav = 0, nat = 10, ntyp = 3
/
ATOMIC_SPECIES
Nd 144.24 Nd.upf
S 32.06 S.upf
N 14.01 N.upf
CELL_PARAMETERS angstrom
-1.9993 1.9993 14.2053
1.9993 -1.9993 14.2053
1.9993 1.9993 -14.2053
ATOMIC_POSITIONS crystal
Nd 0.0000 0.0000 0.0000
Nd 0.2021 0.2021 0.0000
Nd 0.4143 0.4143 0.0000
Nd 0.5857 0.5857 0.0000
Nd 0.7979 0.7979 0.0000
S 0.0995 0.0995 0.0000
S 0.3046 0.3046 0.0000
S 0.6954 0.6954 0.0000
S 0.9005 0.9005 0.0000
N 0.5000 0.5000 0.0000
! Energy relative to the elements, uncorrected: -42.79 kcal/mol of atoms
! Magnetic moment: 0.0 μB per cell
! VASP energy: -0.494 Ry per atom
! DOS at the Fermi energy: 3.69 states/eV/cell

---

Entry 3:
! PBE Pm4HoGe4, relaxed; values from VASP
&SYSTEM
  ibrav = 0, nat = 18, ntyp = 3
/
ATOMIC_SPECIES
Pm 145.00 Pm.upf
Ho 164.93 Ho.upf
Ge 72.64 Ge.upf
CELL_PARAMETERS angstrom
9.0627 0.0000 0.0000
0.0000 9.0627 0.0000
0.0000 0.0000 6.0566
ATOMIC_POSITIONS crystal
Pm 0.0523 0.6699 0.1212
Pm 0.1699 0.9477 0.6212
Pm 0.3301 0.5523 0.6212
Pm 0.4477 0.8301 0.1212
Pm 0.5523 0.1699 0.8788
Pm 0.6699 0.4477 0.3788
Pm 0.8301 0.0523 0.3788
Pm 0.9477 0.3301 0.8788
Ho 0.2500 0.2500 0.2500
Ho 0.7500 0.7500 0.7500
Ge 0.0154 0.6292 0.6116
Ge 0.1292 0.9846 0.1116
Ge 0.3708 0.5154 0.1116
Ge 0.4846 0.8708 0.6116
Ge 0.5154 0.1292 0.3884
Ge 0.6292 0.4846 0.8884
Ge 0.8708 0.0154 0.8884
Ge 0.9846 0.3708 0.3884
! Magnetic moment: 0.0 μB per cell
! VASP energy: -0.387 Ry per atom
! DOS at the Fermi energy: 18.01 states/eV/cell

---

Entry 4:
! PBE KCoTe2, relaxed; values from VASP
&SYSTEM
  ibrav = 0, nat = 4, ntyp = 3
/
ATOMIC_SPECIES
K 39.10 K.upf
Co 58.93 Co.upf
Te 127.60 Te.upf
CELL_PARAMETERS angstrom
-1.9331 3.3470 4.8387
1.9331 -3.3470 4.8387
1.9331 3.3470 -4.8387
ATOMIC_POSITIONS crystal
K 0.0000 0.0000 0.0000
Co 0.5000 0.5000 0.0000
Te 0.3316 0.8316 0.5000
Te 0.6684 0.1684 0.5000
! Energy relative to the elements, uncorrected: -5.26 kcal/mol of atoms
! Magnetic moment: 1.6 μB per cell
! VASP energy: -0.283 Ry per atom
! DOS at the Fermi energy: 5.29 states/eV/cell

---

Entry 5:
! PBE CrGeBr3, relaxed; values from VASP
&SYSTEM
  ibrav = 0, nat = 5, ntyp = 3
/
ATOMIC_SPECIES
Cr 52.00 Cr.upf
Ge 72.64 Ge.upf
Br 79.90 Br.upf
CELL_PARAMETERS angstrom
5.4146 0.0000 0.0000
0.0000 5.4146 0.0000
0.0000 0.0000 5.4146
ATOMIC_POSITIONS crystal
Cr 0.0000 0.0000 0.0000
Ge 0.5000 0.5000 0.5000
Br 0.0000 0.5000 0.5000
Br 0.5000 0.0000 0.5000
Br 0.5000 0.5000 0.0000
! Energy relative to the elements, uncorrected: 2.11 kcal/mol of atoms
! Magnetic moment: 5.0 μB per cell
! E above lowest polymorph: 0.154 eV per atom
! VASP energy: -0.276 Ry per atom
! DOS at the Fermi energy: 8.03 states/eV/cell

---

Entry 6:
! PBE Na7AgPb3, relaxed; values from VASP
&SYSTEM
  ibrav = 0, nat = 11, ntyp = 3
/
ATOMIC_SPECIES
Na 22.99 Na.upf
Ag 107.87 Ag.upf
Pb 207.20 Pb.upf
CELL_PARAMETERS angstrom
7.4394 0.0000 0.0000
-3.7197 6.4427 0.0000
0.0000 0.0000 7.6016
ATOMIC_POSITIONS crystal
Na 0.0000 0.0000 0.0000
Na 0.0134 0.5067 0.9413
Na 0.3391 0.1696 0.5689
Na 0.4933 0.5067 0.9413
Na 0.4933 0.9866 0.9413
Na 0.8304 0.1696 0.5689
Na 0.8304 0.6609 0.5689
Ag 0.3333 0.6667 0.6085
Pb 0.1899 0.3798 0.2855
Pb 0.1899 0.8101 0.2855
Pb 0.6202 0.8101 0.2855
! Magnetic moment: 0.0 μB per cell
! VASP energy: -0.156 Ry per atom
! DOS at the Fermi energy: 2.57 states/eV/cell